Computed, not measured: an optimized crystal structure of Ca2Cd3FeO6 at the PBE+U level of DFT.

Values from the calculation:
As for the symmetry: C2/m. The total DFT energy (no corrections) is -5.236 eV per atom. For the total magnetic moment, the calculation gives 4.0 Bohr magnetons per cell.

a b c (Å): 5.8188 5.8188 5.7604
angles (deg): 99.40 99.40 120.06
Positions (direct):
Cd1 0.5000 0.5000 0.5000
Cd2 0.8365 0.1635 0.5000
O1 0.0861 0.4085 0.2481
Ca1 0.6686 0.3314 0.0000
O2 0.5915 0.9139 0.7519
Ca2 0.3314 0.6686 0.0000
Fe1 0.0000 0.0000 0.0000
O3 0.7682 0.7682 0.2210
O4 0.2318 0.2318 0.7790
O5 0.4085 0.0861 0.2481
Cd3 0.1635 0.8365 0.5000
O6 0.9139 0.5915 0.7519